# 1
VASP calculation (GGA-PBE) on a geometry-optimized Sr2LiTl6 structure.

Structure (POSCAR):
```
Sr2LiTl6
1.0
0.000 5.111 5.111
5.111 0.000 5.111
5.111 5.111 0.000
Sr Li Tl
2 1 6
Direct
0.250 0.250 0.250
0.750 0.750 0.750
0.000 0.000 0.000
0.272 0.272 0.728
0.272 0.728 0.272
0.272 0.728 0.728
0.728 0.272 0.272
0.728 0.272 0.728
0.728 0.728 0.272
```

Output
Energy relative to the elements = -0.26 eV per atom

# 2
VASP calculation (GGA-PBE) on a geometry-optimized Sr4LiTl structure.

Structure (POSCAR):
```
Sr4LiTl
1.0
4.214 0.000 0.000
0.000 4.214 0.000
0.000 0.000 14.242
Sr Li Tl
4 1 1
Direct
0.000 0.000 0.134
0.000 0.000 0.866
0.500 0.500 0.354
0.500 0.500 0.646
0.000 0.000 0.500
0.500 0.500 0.000
```

Output
Energy above the most stable polymorph in this dataset = 0.00 eV/f.u.
Energy relative to the elements = -0.13 eV per atom

# 3
VASP calculation (GGA-PBE) on a geometry-optimized Sr16Li12Tl structure.

Structure (POSCAR):
```
Sr16Li12Tl
1.0
6.582 -8.812 0.000
6.582 8.812 0.000
-5.090 0.000 9.961
Sr Li Tl
16 12 1
Direct
0.000 0.000 0.000
0.259 0.259 0.694
0.265 0.646 0.674
0.363 0.601 0.019
0.371 0.997 0.011
0.388 0.617 0.378
0.596 0.976 0.362
0.601 0.363 0.019
0.606 0.606 0.765
0.617 0.388 0.378
0.619 0.971 0.787
0.646 0.265 0.674
0.971 0.619 0.787
0.971 0.971 0.359
0.976 0.596 0.362
0.997 0.371 0.011
0.105 0.912 0.685
0.135 0.311 0.340
0.181 0.796 0.188
0.307 0.935 0.517
0.311 0.135 0.340
0.671 0.858 0.067
0.678 0.678 0.263
0.786 0.786 0.573
0.796 0.181 0.188
0.858 0.671 0.067
0.912 0.105 0.685
0.935 0.307 0.517
0.301 0.301 0.119
```

Output
Energy relative to the elements = 0.03 eV per atom

# 4
VASP calculation (GGA-PBE) on a geometry-optimized SrLiTl5 structure.

Structure (POSCAR):
```
SrLiTl5
1.0
4.978 0.000 0.000
0.000 4.978 0.000
0.000 0.000 8.172
Sr Li Tl
1 1 5
Direct
0.000 0.000 0.000
0.000 0.000 0.500
0.000 0.500 0.302
0.000 0.500 0.698
0.500 0.000 0.302
0.500 0.000 0.698
0.500 0.500 0.000
```

Output
Energy above the most stable polymorph in this dataset = 0.00 eV/f.u.
Energy relative to the elements = -0.17 eV per atom

# 5
VASP calculation (GGA-PBE) on a geometry-optimized SrLiTl2 structure.

Structure (POSCAR):
```
SrLiTl2
1.0
5.214 0.000 0.000
0.000 5.214 0.000
0.000 0.000 19.968
Sr Li Tl
4 4 8
Direct
0.000 0.000 0.000
0.000 0.500 0.250
0.500 0.000 0.750
0.500 0.500 0.500
0.000 0.000 0.500
0.000 0.500 0.750
0.500 0.000 0.250
0.500 0.500 0.000
0.135 0.250 0.625
0.250 0.635 0.875
0.250 0.865 0.375
0.365 0.250 0.125
0.635 0.750 0.125
0.750 0.135 0.375
0.750 0.365 0.875
0.865 0.750 0.625
```

Output
Energy relative to the elements = -0.08 eV per atom

# 6
VASP calculation (GGA-PBE) on a geometry-optimized Sr2LiTl8 structure.

Structure (POSCAR):
```
Sr2LiTl8
1.0
5.029 0.000 0.000
0.000 5.029 0.000
0.000 0.000 12.942
Sr Li Tl
2 1 8
Direct
0.000 0.000 0.189
0.000 0.000 0.811
0.000 0.000 0.500
0.000 0.500 0.000
0.000 0.500 0.377
0.000 0.500 0.623
0.500 0.000 0.000
0.500 0.000 0.377
0.500 0.000 0.623
0.500 0.500 0.189
0.500 0.500 0.811
```

Output
Energy relative to the elements = -0.21 eV per atom

# 7
VASP calculation (GGA-PBE) on a geometry-optimized Sr2Li2Tl structure.

Structure (POSCAR):
```
Sr2Li2Tl
1.0
8.046 0.000 0.000
0.000 8.046 0.000
0.000 0.000 4.912
Sr Li Tl
4 4 2
Direct
0.189 0.311 0.000
0.311 0.811 0.000
0.689 0.189 0.000
0.811 0.689 0.000
0.124 0.624 0.500
0.376 0.124 0.500
0.624 0.876 0.500
0.876 0.376 0.500
0.000 0.000 0.500
0.500 0.500 0.500
```

Output
Energy above the most stable polymorph in this dataset = 0.41 eV/f.u.
Energy relative to the elements = -0.11 eV per atom

# 8
VASP calculation (GGA-PBE) on a geometry-optimized SrLiTl3 structure.

Structure (POSCAR):
```
SrLiTl3
1.0
-3.542 5.232 3.964
3.542 -5.232 3.964
3.542 5.232 -3.964
Sr Li Tl
2 2 6
Direct
0.312 0.062 0.250
0.688 0.938 0.750
0.000 0.500 0.500
0.500 0.500 0.000
0.180 0.430 0.750
0.230 0.000 0.730
0.230 0.500 0.230
0.770 0.000 0.270
0.770 0.500 0.770
0.820 0.570 0.250
```

Output
Energy above the most stable polymorph in this dataset = 0.34 eV/f.u.
Energy relative to the elements = -0.19 eV per atom

# 9
VASP calculation (GGA-PBE) on a geometry-optimized SrLi2Tl5 structure.

Structure (POSCAR):
```
SrLi2Tl5
1.0
4.600 0.000 0.000
0.000 8.007 0.000
0.000 0.000 11.822
Sr Li Tl
2 4 10
Direct
0.000 0.000 0.000
0.500 0.500 0.500
0.000 0.500 0.236
0.000 0.500 0.764
0.500 0.000 0.264
0.500 0.000 0.736
0.000 0.206 0.355
0.000 0.206 0.645
0.000 0.500 0.000
0.000 0.794 0.355
0.000 0.794 0.645
0.500 0.000 0.500
0.500 0.294 0.145
0.500 0.294 0.855
0.500 0.706 0.145
0.500 0.706 0.855
```

Output
Energy relative to the elements = -0.19 eV per atom

# 10
VASP calculation (GGA-PBE) on a geometry-optimized SrLi7Tl4 structure.

Structure (POSCAR):
```
SrLi7Tl4
1.0
5.835 -2.682 0.000
5.835 2.682 0.000
-5.670 0.000 8.765
Sr Li Tl
1 7 4
Direct
0.000 0.000 0.000
0.042 0.042 0.380
0.220 0.220 0.883
0.346 0.346 0.432
0.500 0.500 0.000
0.654 0.654 0.568
0.780 0.780 0.117
0.958 0.958 0.620
0.292 0.292 0.671
0.400 0.400 0.199
0.600 0.600 0.801
0.708 0.708 0.329
```

Output
Energy relative to the elements = -0.13 eV per atom

# 11
VASP calculation (GGA-PBE) on a geometry-optimized SrLi3Tl3 structure.

Structure (POSCAR):
```
SrLi3Tl3
1.0
4.356 2.515 5.525
-4.356 2.515 5.525
0.000 -5.030 5.525
Sr Li Tl
2 6 6
Direct
0.174 0.174 0.174
0.826 0.826 0.826
0.200 0.450 0.686
0.314 0.800 0.550
0.450 0.686 0.200
0.550 0.314 0.800
0.686 0.200 0.450
0.800 0.550 0.314
0.048 0.723 0.368
0.277 0.632 0.952
0.368 0.048 0.723
0.632 0.952 0.277
0.723 0.368 0.048
0.952 0.277 0.632
```

Output
Energy above the most stable polymorph in this dataset = 0.00 eV/f.u.
Energy relative to the elements = -0.19 eV per atom

# 12
VASP calculation (GGA-PBE) on a geometry-optimized SrLi2Tl4 structure.

Structure (POSCAR):
```
SrLi2Tl4
1.0
19.750 0.000 0.000
0.000 4.903 0.000
0.000 0.000 7.610
Sr Li Tl
4 8 16
Direct
0.137 0.250 0.012
0.363 0.750 0.512
0.637 0.250 0.488
0.863 0.750 0.988
0.041 0.750 0.279
0.227 0.250 0.517
0.273 0.750 0.017
0.459 0.250 0.779
0.541 0.750 0.221
0.727 0.250 0.983
0.773 0.750 0.483
0.959 0.250 0.721
0.033 0.750 0.815
0.083 0.250 0.511
0.187 0.750 0.313
0.193 0.750 0.716
0.307 0.250 0.216
0.313 0.250 0.813
0.417 0.750 0.011
0.467 0.250 0.315
0.533 0.750 0.685
0.583 0.250 0.989
0.687 0.750 0.187
0.693 0.750 0.784
0.807 0.250 0.284
0.813 0.250 0.687
0.917 0.750 0.489
0.967 0.250 0.185
```

Output
Energy relative to the elements = -0.24 eV per atom

# 13
VASP calculation (GGA-PBE) on a geometry-optimized Sr3Li9Tl2 structure.

Structure (POSCAR):
```
Sr3Li9Tl2
1.0
-2.513 5.225 7.184
2.513 -5.225 7.184
2.513 5.225 -7.184
Sr Li Tl
3 9 2
Direct
0.000 0.000 0.000
0.318 0.318 0.000
0.682 0.682 0.000
0.027 0.680 0.347
0.168 0.888 0.280
0.333 0.680 0.653
0.393 0.112 0.280
0.500 0.000 0.500
0.607 0.888 0.720
0.667 0.320 0.347
0.832 0.112 0.720
0.973 0.320 0.653
0.278 0.500 0.778
0.722 0.500 0.222
```

Output
Energy relative to the elements = -0.11 eV per atom

# 14
VASP calculation (GGA-PBE) on a geometry-optimized SrLi6Tl12 structure.

Structure (POSCAR):
```
SrLi6Tl12
1.0
-4.974 4.974 4.974
4.974 -4.974 4.974
4.974 4.974 -4.974
Sr Li Tl
1 6 12
Direct
0.000 0.000 0.000
0.139 0.500 0.639
0.361 0.861 0.500
0.500 0.361 0.861
0.500 0.639 0.139
0.639 0.139 0.500
0.861 0.500 0.361
0.100 0.285 0.815
0.185 0.470 0.285
0.185 0.900 0.715
0.285 0.185 0.470
0.285 0.815 0.100
0.470 0.285 0.185
0.530 0.715 0.815
0.715 0.185 0.900
0.715 0.815 0.530
0.815 0.100 0.285
0.815 0.530 0.715
0.900 0.715 0.185
```

Output
Energy relative to the elements = -0.10 eV per atom

# 15
VASP calculation (GGA-PBE) on a geometry-optimized SrLiTl2 structure.

Structure (POSCAR):
```
SrLiTl2
1.0
4.018 0.000 0.000
0.000 4.018 0.000
0.000 0.000 7.438
Sr Li Tl
1 1 2
Direct
0.000 0.000 0.000
0.500 0.500 0.673
0.000 0.000 0.526
0.500 0.500 0.269
```

Output
Energy relative to the elements = -0.19 eV per atom

# 16
VASP calculation (GGA-PBE) on a geometry-optimized Sr6LiTl structure.

Structure (POSCAR):
```
Sr6LiTl
1.0
5.897 0.000 0.000
0.000 5.897 0.000
0.000 0.000 20.619
Sr Li Tl
12 2 2
Direct
0.000 0.000 0.249
0.000 0.000 0.751
0.000 0.500 0.097
0.000 0.500 0.403
0.000 0.500 0.597
0.000 0.500 0.903
0.500 0.000 0.097
0.500 0.000 0.403
0.500 0.000 0.597
0.500 0.000 0.903
0.500 0.500 0.251
0.500 0.500 0.749
0.000 0.000 0.000
0.500 0.500 0.500
0.000 0.000 0.500
0.500 0.500 0.000
```

Output
Energy relative to the elements = -0.11 eV per atom

# 17
VASP calculation (GGA-PBE) on a geometry-optimized Sr3Li2Tl7 structure.

Structure (POSCAR):
```
Sr3Li2Tl7
1.0
2.620 -13.187 0.000
2.620 13.187 0.000
0.000 0.000 5.203
Sr Li Tl
3 2 7
Direct
0.000 0.000 0.000
0.182 0.818 0.000
0.818 0.182 0.000
0.384 0.616 0.500
0.616 0.384 0.500
0.086 0.914 0.500
0.281 0.719 0.500
0.410 0.590 0.000
0.500 0.500 0.500
0.590 0.410 0.000
0.719 0.281 0.500
0.914 0.086 0.500
```

Output
Energy relative to the elements = -0.25 eV per atom

# 18
VASP calculation (GGA-PBE) on a geometry-optimized SrLiTl3 structure.

Structure (POSCAR):
```
SrLiTl3
1.0
5.261 0.000 0.000
0.000 5.261 0.000
0.000 0.000 5.261
Sr Li Tl
1 1 3
Direct
0.000 0.000 0.000
0.500 0.500 0.500
0.000 0.500 0.500
0.500 0.000 0.500
0.500 0.500 0.000
```

Output
Energy above the most stable polymorph in this dataset = 0.40 eV/f.u.
Energy relative to the elements = -0.18 eV per atom

# 19
VASP calculation (GGA-PBE) on a geometry-optimized SrLi3Tl2 structure.

Structure (POSCAR):
```
SrLi3Tl2
1.0
4.841 0.000 0.000
-2.421 4.193 0.000
0.000 0.000 14.954
Sr Li Tl
2 6 4
Direct
0.000 0.000 0.250
0.000 0.000 0.750
0.000 0.000 0.000
0.000 0.000 0.500
0.333 0.667 0.085
0.333 0.667 0.415
0.667 0.333 0.585
0.667 0.333 0.915
0.333 0.667 0.600
0.333 0.667 0.900
0.667 0.333 0.100
0.667 0.333 0.400
```

Output
Energy above the most stable polymorph in this dataset = 0.03 eV/f.u.
Energy relative to the elements = -0.25 eV per atom

# 20
VASP calculation (GGA-PBE) on a geometry-optimized Sr2LiTl2 structure.

Structure (POSCAR):
```
Sr2LiTl2
1.0
8.405 0.000 0.000
0.000 8.405 0.000
0.000 0.000 4.879
Sr Li Tl
4 2 4
Direct
0.165 0.335 0.000
0.335 0.835 0.000
0.665 0.165 0.000
0.835 0.665 0.000
0.000 0.000 0.500
0.500 0.500 0.500
0.139 0.639 0.500
0.361 0.139 0.500
0.639 0.861 0.500
0.861 0.361 0.500
```

Output
Energy above the most stable polymorph in this dataset = 0.23 eV/f.u.
Energy relative to the elements = -0.28 eV per atom